[1]
A plane-wave DFT calculation with PBE was carried out for a relaxed La2BeHgC crystal.

## Properties
The density of states at the Fermi level comes out at 4.75 states/eV/cell. The value obtained for the formation enthalpy at 0 K is -0.209 eV per atom. The value obtained for the calculated density is 7.6 g cm⁻³. Its space group is P4/mmm, No. 123.

Cell lengths 5.530, 5.530, 3.546 Å; angles 90.00, 90.00, 90.00 degrees
Element x y z (fractional)
La1 0.000 0.500 0.000
La2 0.500 0.000 0.000
Be1 0.000 0.000 0.500
Hg1 0.500 0.500 0.500
C1 0.000 0.000 0.000



[2]
A plane-wave DFT calculation with PBE was carried out for a relaxed AsC3 crystal.

## Properties
The density of states at the Fermi level comes out at 0.54 states/eV/cell. The value obtained for the formation enthalpy at 0 K is 2.099 eV per atom. The value obtained for the calculated density is 3.7 g cm⁻³. Its space group is Cmcm, No. 63.

Cell lengths 7.297, 7.297, 2.445 Å; angles 90.00, 90.00, 130.42 degrees
Element x y z (fractional)
As1 0.120 0.880 0.750
As2 0.880 0.120 0.250
C1 0.232 0.535 0.750
C2 0.292 0.708 0.250
C3 0.465 0.768 0.750
C4 0.535 0.232 0.250
C5 0.708 0.292 0.750
C6 0.768 0.465 0.250



[3]
A plane-wave DFT calculation with PBE was carried out for a relaxed KBa2Au3 crystal.

## Properties
The density of states at the Fermi level comes out at 3.62 states/eV/cell. The value obtained for the formation enthalpy at 0 K is -0.567 eV per atom. The value obtained for the calculated density is 7.6 g cm⁻³. Its space group is P4/mmm, No. 123.

Cell lengths 4.064, 4.064, 12.038 Å; angles 90.00, 90.00, 90.00 degrees
Element x y z (fractional)
K1 0.000 0.000 0.000
Ba1 0.000 0.000 0.334
Ba2 0.000 0.000 0.666
Au1 0.500 0.500 0.184
Au2 0.500 0.500 0.500
Au3 0.500 0.500 0.816



[4]
A plane-wave DFT calculation with PBE was carried out for a relaxed La2Zn4InGa3 crystal.

## Properties
The density of states at the Fermi level comes out at 2.37 states/eV/cell. The value obtained for the formation enthalpy at 0 K is -0.481 eV per atom. The value obtained for the calculated density is 6.9 g cm⁻³. Its space group is P-4m2, No. 115.

Cell lengths 4.376, 4.376, 10.826 Å; angles 90.00, 90.00, 90.00 degrees
Element x y z (fractional)
La1 0.000 0.500 0.238
La2 0.500 0.000 0.762
Zn1 0.000 0.000 0.000
Zn2 0.000 0.500 0.646
Zn3 0.500 0.000 0.354
Zn4 0.500 0.500 0.000
In1 0.000 0.000 0.500
Ga1 0.000 0.500 0.872
Ga2 0.500 0.000 0.128
Ga3 0.500 0.500 0.500



What did the third record say?
A plane-wave DFT calculation with PBE was carried out for a relaxed KBa2Au3 crystal.

## Properties
The density of states at the Fermi level comes out at 3.62 states/eV/cell. The value obtained for the formation enthalpy at 0 K is -0.567 eV per atom. The value obtained for the calculated density is 7.6 g cm⁻³. Its space group is P4/mmm, No. 123.

Cell lengths 4.064, 4.064, 12.038 Å; angles 90.00, 90.00, 90.00 degrees
Element x y z (fractional)
K1 0.000 0.000 0.000
Ba1 0.000 0.000 0.334
Ba2 0.000 0.000 0.666
Au1 0.500 0.500 0.184
Au2 0.500 0.500 0.500
Au3 0.500 0.500 0.816



- Which value of formation enthalpy at 0 K does entry 4 give?
  -0.481 eV per atom



- Look up the formation enthalpy at 0 K of the second one.
  2.099 eV per atom



- Among the records above, which one has the highest formation enthalpy at 0 K?
  AsC3